P:
This record from the Alexandria database describes HgTeP2 after structural relaxation. The functional is PBE.

Computed properties:
D(E_F), states/eV/f.u.: 1.6
ρ, g/cm3: 7.19

a b c (Å): 2.9162 3.9386 7.8516
angles (deg): 90.00 91.54 90.00
Last column: nearest neighbours and their distance in Å.
Space group P2/m (No. 10)
Symmetry-distinct sites (fractional):
Hg (0.0000, 0.0000, 0.0000) [1 per cell]  4 P 2.75, 2 Hg 2.92
Te (0.0000, 0.0000, 0.5000) [1 per cell]  4 P 2.81, 2 Te 2.92
P (0.0115, 0.5000, 0.7557) [2 per cell]  2 Hg 2.75, 2 Te 2.81, 2 P 2.92

=====

Q:
This record from the Alexandria database describes HgTeP2 after structural relaxation. The functional is PBE.

Computed properties:
D(E_F), states/eV/f.u.: 1.8
ρ, g/cm3: 7.86

a b c (Å): 6.9282 6.9371 3.4301
angles (deg): 90.00 90.00 90.00
Last column: nearest neighbours and their distance in Å.
Space group Cmmm (No. 65)
Symmetry-distinct sites (fractional):
Hg (0.0000, 0.0000, 0.0000) [2 per cell]  8 P 2.99
Te (0.0000, 0.5000, 0.0000) [2 per cell]  8 P 2.99
P (0.2500, 0.2500, 0.5000) [4 per cell]  4 Hg 2.99, 4 Te 2.99

=====

Among the structures shown above, P is the most stable, with the second-best lying 287 meV per atom higher.